(1)
DFT (SCAN) results for AsPOs2 at its PBEsol-relaxed geometry.

```
data_AsPOs2
_chemical_formula_sum 'As1 P1 Os2'
_space_group_name_H-M_alt 'P 4/m m m'
_space_group_IT_number 123
_space_group_name_Hall '-P 4 2'
_cell_length_a 2.9587
_cell_length_b 2.9587
_cell_length_c 6.2013
_cell_angle_alpha 90.00
_cell_angle_beta 90.00
_cell_angle_gamma 90.00
loop_
_atom_site_label
_atom_site_fract_x
_atom_site_fract_y
_atom_site_fract_z
_atom_site_occupancy
As1 0.0000 0.0000 0.0000 1
P1 0.0000 0.0000 0.5000 1
Os1 0.5000 0.5000 0.2774 1
```

**Density of states at the Fermi level**: 0.416 states/eV per atom
**E**: -43.32 eV per atom



(2)
DFT (SCAN) results for As2POsSe at its PBEsol-relaxed geometry.

```
data_As2POsSe
_chemical_formula_sum 'As2 P1 Os1 Se1'
_space_group_name_H-M_alt 'P 4/m m m'
_space_group_IT_number 123
_space_group_name_Hall '-P 4 2'
_cell_length_a 4.6045
_cell_length_b 4.6045
_cell_length_c 5.1299
_cell_angle_alpha 90.00
_cell_angle_beta 90.00
_cell_angle_gamma 90.00
loop_
_atom_site_label
_atom_site_fract_x
_atom_site_fract_y
_atom_site_fract_z
_atom_site_occupancy
As1 0.0000 0.5000 0.0000 1
P1 0.0000 0.0000 0.5000 1
Os1 0.5000 0.5000 0.0000 1
Se1 0.5000 0.5000 0.5000 1
```

**Density of states at the Fermi level**: 0.902 states/eV per atom
**E_form (uncorrected)**: 0.973 eV/atom
**E**: -27.57 eV per atom



(3)
DFT (SCAN) results for TiAsPOs2 at its PBEsol-relaxed geometry.

```
data_TiAsPOs2
_chemical_formula_sum 'Ti1 As1 P1 Os2'
_space_group_name_H-M_alt 'P 4/m m m'
_space_group_IT_number 123
_space_group_name_Hall '-P 4 2'
_cell_length_a 4.3245
_cell_length_b 4.3245
_cell_length_c 4.4946
_cell_angle_alpha 90.00
_cell_angle_beta 90.00
_cell_angle_gamma 90.00
loop_
_atom_site_label
_atom_site_fract_x
_atom_site_fract_y
_atom_site_fract_z
_atom_site_occupancy
Ti1 0.0000 0.0000 0.0000 1
As1 0.5000 0.5000 0.0000 1
P1 0.0000 0.0000 0.5000 1
Os1 0.0000 0.5000 0.5000 1
```

**Density of states at the Fermi level**: 0.724 states/eV per atom
**E**: -37.51 eV per atom



(4)
DFT (SCAN) results for As2OsPb at its PBEsol-relaxed geometry.

```
data_As2OsPb
_chemical_formula_sum 'As4 Os2 Pb2'
_space_group_name_H-M_alt 'C m m m'
_space_group_IT_number 65
_space_group_name_Hall '-C 2 2'
_cell_length_a 5.7916
_cell_length_b 7.7168
_cell_length_c 3.3126
_cell_angle_alpha 90.00
_cell_angle_beta 90.00
_cell_angle_gamma 90.00
loop_
_atom_site_label
_atom_site_fract_x
_atom_site_fract_y
_atom_site_fract_z
_atom_site_occupancy
As1 0.2500 0.2500 0.0000 1
Os1 0.0000 0.0000 0.5000 1
Pb1 0.0000 0.5000 0.5000 1
```

**Density of states at the Fermi level**: 0.546 states/eV per atom
**E**: -46.11 eV per atom



(5)
DFT (SCAN) results for As2OsPb at its PBEsol-relaxed geometry.

```
data_As2OsPb
_chemical_formula_sum 'As8 Os4 Pb4'
_space_group_name_H-M_alt 'F -4 3 m'
_space_group_IT_number 216
_space_group_name_Hall 'F -4 2 3'
_cell_length_a 6.6565
_cell_length_b 6.6565
_cell_length_c 6.6565
_cell_angle_alpha 90.00
_cell_angle_beta 90.00
_cell_angle_gamma 90.00
loop_
_atom_site_label
_atom_site_fract_x
_atom_site_fract_y
_atom_site_fract_z
_atom_site_occupancy
As1 0.0000 0.0000 0.0000 1
As2 0.2500 0.2500 0.2500 1
Os1 0.0000 0.0000 0.5000 1
Pb1 0.2500 0.2500 0.7500 1
```

**Density of states at the Fermi level**: 0.751 states/eV per atom
**E**: -46.07 eV per atom



(6)
DFT (SCAN) results for As2OsPb at its PBEsol-relaxed geometry.

```
data_As2OsPb
_chemical_formula_sum 'As2 Os1 Pb1'
_space_group_name_H-M_alt 'P 1 m 1'
_space_group_IT_number 6
_space_group_name_Hall 'P -2y'
_cell_length_a 3.9666
_cell_length_b 4.4673
_cell_length_c 5.0061
_cell_angle_alpha 90.00
_cell_angle_beta 100.13
_cell_angle_gamma 90.00
loop_
_atom_site_label
_atom_site_fract_x
_atom_site_fract_y
_atom_site_fract_z
_atom_site_occupancy
As1 0.0000 0.0000 0.0000 1
As2 0.3209 0.5000 0.8481 1
Os1 0.8515 0.5000 0.1403 1
Pb1 0.6036 0.0000 0.4452 1
```

**Density of states at the Fermi level**: 0.632 states/eV per atom
**E**: -46.57 eV per atom